# IrC PBE optimized geometry
data_IrC
_chemical_formula_sum 'Ir4 C4'
_symmetry_space_group_name_H-M 'I 41/a m d'
_symmetry_Int_Tables_number 141
_cell_length_a 2.8694
_cell_length_b 2.8694
_cell_length_c 15.3643
_cell_angle_alpha 90.00
_cell_angle_beta 90.00
_cell_angle_gamma 90.00
loop_
_symmetry_equiv_pos_as_xyz
'x,y,z'
'-x,-y,-z'
'-y+1/4,x+3/4,z+1/4'
'y+1/4,-x+3/4,-z+1/4'
'-x+1/2,-y,z+1/2'
'x+1/2,y,-z+1/2'
'y+1/4,-x+1/4,z+3/4'
'-y+1/4,x+1/4,-z+3/4'
'x,-y,-z'
'-x,y,z'
'-y+1/4,-x+1/4,-z+3/4'
'y+1/4,x+1/4,z+3/4'
'-x+1/2,y,-z+1/2'
'x+1/2,-y,z+1/2'
'y+1/4,x+3/4,-z+1/4'
'-y+1/4,-x+3/4,z+1/4'
'x+1/2,y+1/2,z+1/2'
'-x+1/2,-y+1/2,-z+1/2'
'-y+3/4,x+1/4,z+3/4'
'y+3/4,-x+1/4,-z+3/4'
'-x,-y+1/2,z'
'x,y+1/2,-z'
'y+3/4,-x+3/4,z+1/4'
'-y+3/4,x+3/4,-z+1/4'
'x+1/2,-y+1/2,-z+1/2'
'-x+1/2,y+1/2,z+1/2'
'-y+3/4,-x+3/4,-z+1/4'
'y+3/4,x+3/4,z+1/4'
'-x,y+1/2,-z'
'x,-y+1/2,z'
'y+3/4,x+1/4,-z+3/4'
'-y+3/4,-x+1/4,z+3/4'
loop_
_atom_site_label
_atom_site_type_symbol
_atom_site_fract_x
_atom_site_fract_y
_atom_site_fract_z
Ir1 Ir 0.0000 0.2500 0.3750
C1 C 0.0000 0.2500 0.8750
# DOS(E_F)   0.7406 states/eV/atom
# VASP energy   -61.16 eV/cell
# Calculated volume   15.812 Å³/atom
# Total magnetization   0.000 μB/atom
# Energy of formation from the pure elements   1.40 eV per atom
# Energy above the lowest structure with this stoichiometry   939 meV/atom
# Crystal system   tetragonal
# Calculated density   10.72 g/cm³